Material: Nd2GdMg3CdGa2
Method: DFT, PBE
State: relaxed

M_tot in μB/f.u.: 0.01
SG: No. 38
Energy in eV per cell: -29.739

Unit cell a=4.5606 b=7.4796 c=7.4796 alpha=119.59 beta=90.00 gamma=90.00
Fractional positions:
Ga 0.5000 0.6660 0.3372
Mg 0.5000 0.9994 0.7513
Ga 0.5000 0.3372 0.6660
Gd 0.0000 0.5717 0.5717
Nd 0.0000 0.0014 0.4294
Mg 0.5000 0.7513 0.9994
Cd 0.0000 0.9952 0.9952
Mg 0.5000 0.2483 0.2483
Nd 0.0000 0.4294 0.0014

***

Material: Gd3Mg2CdGa2Ni
Method: DFT, PBE
State: relaxed

M_tot in μB/f.u.: 0.00
SG: No. 38
Energy in eV per cell: -33.684

Unit cell a=4.3214 b=7.2956 c=7.2956 alpha=119.98 beta=90.00 gamma=90.00
Fractional positions:
Ni 0.5000 0.9910 0.9910
Gd 0.5000 0.5894 0.5894
Gd 0.5000 0.0017 0.4074
Cd 0.0000 0.2387 0.2387
Mg 0.0000 0.0005 0.7660
Gd 0.5000 0.4074 0.0017
Mg 0.0000 0.7660 0.0005
Ga 0.0000 0.6716 0.3337
Ga 0.0000 0.3337 0.6716

***

Material: Gd3MgCd2Ga2Ni
Method: DFT, PBE
State: relaxed

M_tot in μB/f.u.: 0.00
SG: No. 38
Energy in eV per cell: -33.177

Unit cell a=4.3230 b=7.3015 c=7.3015 alpha=120.34 beta=90.00 gamma=90.00
Fractional positions:
Gd 0.5000 0.9984 0.4065
Ga 0.0000 0.3339 0.6612
Gd 0.5000 0.4065 0.9984
Gd 0.5000 0.5984 0.5984
Ga 0.0000 0.6612 0.3339
Mg 0.0000 0.2325 0.2325
Cd 0.0000 0.0029 0.7607
Cd 0.0000 0.7607 0.0029
Ni 0.5000 0.0054 0.0054